## In2RuW (PBE)

Data for In2RuW after structural relaxation.

As for the offset from the most stable computed form: 0.2932 eV/atom. For the volume, the calculation gives 215.3 Å³ per cell. As for the total energy: -25.77 eV/f.u. Its formation energy is 0.49 eV/atom. The total magnetization comes out at 0.00 μB/atom.

The space group is R-3m (No. 166, hexagonal axes) and the conventional cell measures 3.0132, 3.0132 and 27.3848 Å, with angles of 90.00, 90.00 and 120.00 degrees. Symmetry generates all atoms from In at (0.0000, 0.0000, 0.2460), Ru at (0.0000, 0.0000, 0.5000) and W at (0.0000, 0.0000, 0.0000).



## NdPaGa6 (PBE)

Data for NdPaGa6 after structural relaxation.

For the volume, the calculation gives 160.2 Å³ per cell. As for the total energy: -36.14 eV/f.u. Its formation energy is -0.46 eV/atom. The total magnetization comes out at 0.00 μB/atom.

The space group is P-6m2 (No. 187) and the conventional cell measures 6.3560, 6.3560 and 4.5781 Å, with angles of 90.00, 90.00 and 120.00 degrees. Symmetry generates all atoms from Nd at (0.0000, 0.0000, 0.0000), Pa at (0.6667, 0.3333, 0.5000), Ga at (0.0394, 0.5197, 0.0000) and Ga at (0.1880, 0.3761, 0.5000).



## Mn2TlIr (PBE)

Data for Mn2TlIr after structural relaxation.

As for the offset from the most stable computed form: 0.0000 eV/atom. For the volume, the calculation gives 69.9 Å³ per cell. As for the total energy: -28.65 eV/f.u. Its formation energy is 0.23 eV/atom. The total magnetization comes out at 2.07 μB/atom.

The space group is P4/mmm (No. 123) and the conventional cell measures 3.0500, 3.0500 and 7.5134 Å, with angles of 90.00, 90.00 and 90.00 degrees. Symmetry generates all atoms from Mn at (0.0000, 0.0000, 0.2065), Tl at (0.5000, 0.5000, 0.5000) and Ir at (0.5000, 0.5000, 0.0000).



## DyY2Al (PBE)

Data for DyY2Al after structural relaxation.

As for the offset from the most stable computed form: 0.0320 eV/atom. For the volume, the calculation gives 217.2 Å³ per cell. As for the total energy: -21.96 eV/f.u. Its formation energy is -0.17 eV/atom. The total magnetization comes out at 0.00 μB/atom.

The space group is Pmmn (No. 59, origin choice 2) and the conventional cell measures 5.3447, 6.6976 and 6.0680 Å, with angles of 90.00, 90.00 and 90.00 degrees. Symmetry generates all atoms from Dy at (0.2500, 0.2500, 0.1273), Y at (0.2500, 0.0049, 0.6627) and Al at (0.2500, 0.7500, 0.1652).